The following is a DFT calculation (GGA-PBE) of a relaxed structure of Ce2Zn3Si.

Output
Formation energy from raw total energies, meV/atom: -377
Spin magnetization, μB/f.u.: 1.84
N(E_F), states/eV/cell: 10.84

abc: 3.8742 4.3434 7.5573
angles: 90.00 90.00 90.00
Last column: nearest neighbours and their distance in Å.
Positions (direct):
Ce1 0.0000 0.0000 0.0000  2 Si 3.13, 10 Zn 3.14-3.25
Ce2 0.0000 0.5000 0.4784  8 Zn 3.11-3.22, 4 Si 3.13
Zn1 0.5000 0.0000 0.6547  1 Si 2.49, 2 Zn 2.50
Zn2 0.5000 0.5000 0.1557  2 Si 2.52, 1 Zn 2.54
Zn3 0.5000 0.5000 0.8192  3 Zn 2.50-2.54
Si1 0.5000 0.0000 0.3257  3 Zn 2.49-2.52